PBE with a Hubbard U Ac2HgMoO6, relaxed; symmetry = P4mm (99); final energy = -66.7 eV/cell; spin magnetization = 1.0 μB per cell; DOS at the Fermi energy = 1.36 states/eV/f.u.
1.0
-1.638 -3.410 -3.852
5.560 -0.968 -1.508
0.262 -4.425 3.805
O Mo Ac Hg
6 1 2 1
direct
0.264 0.000 0.000
0.749 0.780 0.220
0.749 0.780 0.780
0.088 0.500 0.500
0.749 0.220 0.780
0.749 0.220 0.220
0.605 0.000 0.000
0.993 0.500 0.000
0.993 0.000 0.500
0.510 0.500 0.500